1.
Below is a geometry-optimized MgCo2Si structure, with properties calculated at the PBE level.

a = 4.6631 Å, b = 4.6631 Å, c = 4.6631 Å
α = 135.59°, β = 135.59°, γ = 64.62°
Element x y z (fractional)
Mg1 0.0000 0.0000 0.0000
Co1 0.5000 0.5000 0.0000
Co2 0.7500 0.2500 0.5000
Si1 0.2500 0.7500 0.5000

Formation energy without anion corrections ... -0.06 eV/atom

2.
Below is a geometry-optimized Rb2LiBi structure, with properties calculated at the PBE level.

a = 5.1276 Å, b = 6.4905 Å, c = 6.6495 Å
α = 118.94°, β = 112.43°, γ = 90.44°
Element x y z (fractional)
Rb1 0.0000 0.0000 0.0000
Rb2 0.1883 0.6857 0.3715
Li1 0.8153 0.3132 0.6255
Bi1 0.3995 0.3962 0.7940

E_form ... -0.346 eV/atom

3.
Below is a geometry-optimized BeSeCl2 structure, with properties calculated at the PBE level.

a = 4.6842 Å, b = 4.6842 Å, c = 4.6842 Å
α = 60.00°, β = 60.00°, γ = 60.00°
Element x y z (fractional)
Be1 0.0000 0.0000 0.0000
Se1 0.2500 0.2500 0.2500
Cl1 0.5000 0.5000 0.5000
Cl2 0.7500 0.7500 0.7500

Formation energy without anion corrections ... 0.65 eV/atom
Offset from the most stable computed form ... 1.243 eV per atom

4.
Below is a geometry-optimized MgCdFe2Re structure, with properties calculated at the PBE level.

a = 4.7219 Å, b = 4.7219 Å, c = 5.0378 Å
α = 90.00°, β = 90.00°, γ = 90.00°
Element x y z (fractional)
Mg1 0.0000 0.0000 0.0000
Cd1 0.5000 0.5000 0.5000
Fe1 0.0000 0.5000 0.5000
Fe2 0.5000 0.0000 0.5000
Re1 0.5000 0.5000 0.0000

E_form ... 1.914 eV/atom

5.
Below is a geometry-optimized YNbTe2Cl structure, with properties calculated at the PBE level.

a = 5.6021 Å, b = 5.6021 Å, c = 4.4318 Å
α = 90.00°, β = 90.00°, γ = 90.00°
Element x y z (fractional)
Y1 0.0000 0.0000 0.0000
Nb1 0.5000 0.5000 0.0000
Te1 0.0000 0.5000 0.5000
Te2 0.5000 0.0000 0.5000
Cl1 0.5000 0.5000 0.5000

Formation energy without anion corrections ... 0.34 eV/atom

6.
Below is a geometry-optimized SrSeCl3 structure, with properties calculated at the PBE level.

a = 5.6715 Å, b = 5.6715 Å, c = 5.6715 Å
α = 90.00°, β = 90.00°, γ = 90.00°
Element x y z (fractional)
Sr1 0.0000 0.0000 0.0000
Se1 0.5000 0.5000 0.5000
Cl1 0.0000 0.0000 0.5000
Cl2 0.0000 0.5000 0.0000
Cl3 0.5000 0.0000 0.0000

Formation energy without anion corrections ... -0.95 eV/atom
Offset from the most stable computed form ... 0.000 eV per atom

7.
Below is a geometry-optimized IrAuSe2N structure, with properties calculated at the PBE level.

a = 5.1653 Å, b = 5.1653 Å, c = 3.6315 Å
α = 90.00°, β = 90.00°, γ = 90.00°
Element x y z (fractional)
Ir1 0.0000 0.0000 0.0000
Au1 0.5000 0.5000 0.5000
Se1 0.0000 0.5000 0.0000
Se2 0.5000 0.0000 0.0000
N1 0.0000 0.0000 0.5000

Formation energy without anion corrections ... 0.55 eV/atom
Offset from the most stable computed form ... 0.000 eV per atom

8.
Below is a geometry-optimized CaU5P6 structure, with properties calculated at the PBE level.

a = 6.8767 Å, b = 6.8767 Å, c = 6.8636 Å
α = 99.62°, β = 99.62°, γ = 120.08°
Element x y z (fractional)
Ca1 0.0000 0.0000 0.0000
U1 0.1635 0.8365 0.5000
U2 0.3331 0.6669 0.0000
U3 0.5000 0.5000 0.5000
U4 0.6669 0.3331 0.0000
U5 0.8365 0.1635 0.5000
P1 0.0854 0.4255 0.2547
P2 0.2563 0.2563 0.7482
P3 0.4255 0.0854 0.2547
P4 0.5745 0.9146 0.7453
P5 0.7437 0.7437 0.2518
P6 0.9146 0.5745 0.7453

E_form ... -0.983 eV/atom

no.,D(E_F) (states/eV per atom),VASP energy (eV/atom)
1,1.336,-5.37
2,0.322,-2.28
3,1.107,-2.08
4,0.883,-4.46
5,0.975,-4.60
6,0.000,-3.10
7,0.832,-4.94
8,2.160,-8.56